Record 1
LiSiTc2 (meta-GGA SCAN, PBEsol geometry); raw total energy = -20.58 eV/atom; symmetry = P4/mmm (123); total magnetization = 0.00 μB per formula unit; ΔE_f (raw) = 0.055 eV per atom
1.0
3.084 0.000 0.000
0.000 3.084 0.000
0.000 0.000 5.437
Li Si Tc
1 1 2
Direct
0.000 0.000 0.000
0.000 0.000 0.500
0.500 0.500 0.271
0.500 0.500 0.729

=====

Record 2
CrFe3 (meta-GGA SCAN, PBEsol geometry); raw total energy = -18.15 eV/atom; symmetry = Fm-3m (225); total magnetization = 5.71 μB per formula unit; formation enthalpy at 0 K = 0.038 eV per atom
1.0
0.000 2.780 2.780
2.780 0.000 2.780
2.780 2.780 0.000
Cr Fe
1 3
Direct
0.000 0.000 0.000
0.250 0.250 0.250
0.500 0.500 0.500
0.750 0.750 0.750

=====

Record 3
Ba3GeRh (meta-GGA SCAN, PBEsol geometry); raw total energy = -33.91 eV/atom; symmetry = Pm-3m (221); total magnetization = 0.58 μB per formula unit; formation enthalpy at 0 K = 0.391 eV per atom
1.0
6.079 0.000 0.000
0.000 6.079 0.000
0.000 0.000 6.079
Ba Ge Rh
3 1 1
Direct
0.000 0.000 0.500
0.000 0.500 0.000
0.500 0.000 0.000
0.000 0.000 0.000
0.500 0.500 0.500

=====

Record 4
LiCdHgRu2 (meta-GGA SCAN, PBEsol geometry); raw total energy = -32.69 eV/atom; symmetry = P4/mmm (123); total magnetization = 3.17 μB per formula unit; formation enthalpy at 0 K = 1.437 eV per atom
1.0
4.887 0.000 0.000
0.000 4.887 0.000
0.000 0.000 4.331
Li Cd Hg Ru
1 1 1 2
Direct
0.000 0.000 0.000
0.000 0.000 0.500
0.500 0.500 0.000
0.000 0.500 0.500
0.500 0.000 0.500